{
  "formula": "Pr6Sm12Y",
  "functional": "GGA-PBE",
  "state": "relaxed",
  "ef_mev_per_atom": 304,
  "de_polymorph_mev_per_atom": 168,
  "cell": [[9.4723, -1.8691, -2.6963], [-3.0061, 9.1750, -2.6963], [-1.6542, -1.8691, 9.7086]],
  "species": ["Pr", "Pr", "Pr", "Pr", "Pr", "Pr", "Sm", "Sm", "Sm", "Sm", "Sm", "Sm", "Sm", "Sm", "Sm", "Sm", "Sm", "Sm", "Y"],
  "fractional_positions": [[0.2680, 0.2680, 0.5255], [0.7320, 0.4745, 0.7320], [0.4745, 0.7320, 0.7320], [0.7320, 0.7320, 0.4745], [0.2680, 0.5255, 0.2680], [0.5255, 0.2680, 0.2680], [0.1205, 0.8795, 0.5000], [0.5000, 0.1205, 0.8795], [0.2652, 0.2652, 0.9049], [0.7348, 0.7348, 0.0951], [0.2652, 0.9049, 0.2652], [0.8795, 0.1205, 0.5000], [0.5000, 0.8795, 0.1205], [0.7348, 0.0951, 0.7348], [0.9049, 0.2652, 0.2652], [0.8795, 0.5000, 0.1205], [0.1205, 0.5000, 0.8795], [0.0951, 0.7348, 0.7348], [0.0000, 0.0000, 0.0000]]
}

=====

{
  "formula": "Pr2SmY6",
  "functional": "GGA-PBE",
  "state": "relaxed",
  "ef_mev_per_atom": 101,
  "cell": [[6.6440, -0.0753, -0.0729], [1.5375, 9.5312, -0.7585], [1.5375, -0.4493, 9.5507]],
  "species": ["Pr", "Pr", "Pr", "Pr", "Y", "Y", "Y", "Y", "Y", "Y", "Y", "Y", "Y", "Y", "Y", "Y", "Sm", "Sm"],
  "fractional_positions": [[0.6265, 0.6677, 0.6144], [0.1265, 0.6144, 0.6677], [0.3735, 0.3323, 0.3856], [0.8735, 0.3856, 0.3323], [0.5022, 0.6552, 0.2768], [0.6856, 0.2200, 0.0471], [0.7684, 0.5404, 0.9425], [0.9978, 0.7232, 0.3448], [0.0022, 0.2768, 0.6552], [0.7316, 0.0575, 0.4596], [0.4978, 0.3448, 0.7232], [0.2684, 0.9425, 0.5404], [0.2316, 0.4596, 0.0575], [0.8144, 0.9529, 0.7800], [0.3144, 0.7800, 0.9529], [0.1856, 0.0471, 0.2200], [0.7500, 0.8815, 0.1185], [0.2500, 0.1185, 0.8815]]
}

=====

| no. | Fermi-level density of states (states/eV/f.u.) | energy (eV per atom) |
| --- | --- | --- |
| 1 | 33.3 | -4.526 |
| 2 | 12.8 | -5.795 |